1.
{"formula": "TbHoScTl", "functional": "PBE-GGA", "state": "relaxed", "cell": [[4.728, 0.000, 0.000], [0.000, 4.749, 0.000], [0.000, 0.000, 4.767]], "species": ["Ho", "Sc", "Tl", "Tb"], "fractional_positions": [[0.000, 0.000, 0.000], [0.500, 0.000, 0.500], [0.500, 0.500, 0.000], [0.000, 0.500, 0.500]], "rho_g_cm3": 8.894, "space_group": "Pmmm (47)", "formation_enthalpy_0k_ev_per_atom": -0.17, "total_energy_ev_per_atom": -4.6511}

=====

2.
{"formula": "K2Bi2Pd15", "functional": "PBE-GGA", "state": "relaxed", "cell": [[-4.462, -5.253, -1.937], [3.627, -5.338, 3.099], [-3.784, -0.140, 6.076]], "species": ["Pd", "Pd", "Pd", "Pd", "Pd", "Pd", "Pd", "Pd", "Pd", "Pd", "Pd", "Pd", "Pd", "Pd", "Pd", "Bi", "Bi", "K", "K"], "fractional_positions": [[0.500, 0.000, 0.000], [0.303, 0.697, 0.000], [0.697, 0.000, 0.303], [0.154, 0.655, 0.655], [0.000, 0.000, 0.500], [0.655, 0.655, 0.154], [0.846, 0.345, 0.345], [0.345, 0.345, 0.846], [0.697, 0.303, 0.000], [0.000, 0.697, 0.303], [0.345, 0.846, 0.345], [0.000, 0.303, 0.697], [0.303, 0.000, 0.697], [0.655, 0.154, 0.655], [0.000, 0.500, 0.000], [0.888, 0.888, 0.888], [0.112, 0.112, 0.112], [0.360, 0.360, 0.360], [0.640, 0.640, 0.640]], "rho_g_cm3": 9.643, "space_group": "R-3m (166)", "formation_enthalpy_0k_ev_per_atom": -0.03, "total_energy_ev_per_atom": -4.6539}

=====

3.
{"formula": "Sc2VCr2", "functional": "PBE-GGA", "state": "relaxed", "cell": [[7.662, 0.000, 0.000], [0.000, 7.662, 0.000], [0.000, 0.000, 3.080]], "species": ["Cr", "Cr", "Cr", "Cr", "V", "V", "Sc", "Sc", "Sc", "Sc"], "fractional_positions": [[0.845, 0.345, 0.500], [0.345, 0.155, 0.500], [0.155, 0.655, 0.500], [0.655, 0.845, 0.500], [0.000, 0.000, 0.000], [0.500, 0.500, 0.000], [0.647, 0.147, 0.000], [0.853, 0.647, 0.000], [0.147, 0.353, 0.000], [0.353, 0.853, 0.000]], "rho_g_cm3": 4.498, "space_group": "P4/mbm (127)", "formation_enthalpy_0k_ev_per_atom": 0.67, "total_energy_ev_per_atom": -7.5314}

=====

4.
{"formula": "Np3ZnB2Rh9", "functional": "PBE-GGA", "state": "relaxed", "cell": [[5.741, 0.000, 0.000], [-2.870, 4.971, 0.000], [0.000, 0.000, 8.591]], "species": ["Rh", "Rh", "Rh", "Rh", "Rh", "Rh", "Rh", "Rh", "Rh", "Np", "Np", "Np", "B", "B", "Zn"], "fractional_positions": [[0.500, 0.500, 0.000], [0.331, 0.165, 0.716], [0.165, 0.835, 0.284], [0.000, 0.500, 0.000], [0.500, 0.000, 0.000], [0.835, 0.165, 0.716], [0.165, 0.331, 0.284], [0.835, 0.669, 0.716], [0.669, 0.835, 0.284], [0.333, 0.667, 0.632], [0.667, 0.333, 0.368], [0.000, 0.000, 0.000], [0.333, 0.667, 0.148], [0.667, 0.333, 0.852], [0.000, 0.000, 0.500]], "rho_g_cm3": 11.677, "space_group": "P-3m1 (164)", "formation_enthalpy_0k_ev_per_atom": -0.30, "total_energy_ev_per_atom": -8.2791}

=====

5.
{"formula": "Ca6ZnAu", "functional": "PBE-GGA", "state": "relaxed", "cell": [[5.052, 0.000, 1.521], [-0.458, 5.031, 1.522], [-0.304, -0.335, 10.161]], "species": ["Zn", "Ca", "Ca", "Ca", "Ca", "Ca", "Ca", "Au"], "fractional_positions": [[0.000, 0.000, 0.000], [0.407, 0.907, 0.186], [0.093, 0.593, 0.814], [0.751, 0.751, 0.497], [0.907, 0.407, 0.186], [0.593, 0.093, 0.814], [0.249, 0.249, 0.503], [0.500, 0.500, 0.000]], "rho_g_cm3": 3.170, "space_group": "I4/mmm (139)", "formation_enthalpy_0k_ev_per_atom": -0.27, "total_energy_ev_per_atom": -2.3374}

=====

6.
{"formula": "DyB4Ir12", "functional": "PBE-GGA", "state": "relaxed", "cell": [[6.776, 0.000, 0.000], [-2.259, 6.388, 0.000], [-2.259, -3.194, 5.533]], "species": ["Ir", "Ir", "Ir", "Ir", "Ir", "Ir", "Ir", "Ir", "Ir", "Ir", "Ir", "Ir", "B", "B", "B", "B", "Dy"], "fractional_positions": [[0.508, 0.830, 0.678], [0.170, 0.322, 0.492], [0.322, 0.492, 0.170], [0.678, 0.508, 0.830], [0.678, 0.848, 0.170], [0.152, 0.830, 0.322], [0.170, 0.678, 0.848], [0.492, 0.170, 0.322], [0.830, 0.678, 0.508], [0.830, 0.322, 0.152], [0.322, 0.152, 0.830], [0.848, 0.170, 0.678], [0.000, 0.500, 0.000], [0.500, 0.000, 0.000], [0.500, 0.500, 0.500], [0.000, 0.000, 0.500], [0.000, 0.000, 0.000]], "rho_g_cm3": 17.419, "space_group": "Im-3 (204)", "formation_enthalpy_0k_ev_per_atom": 0.10, "total_energy_ev_per_atom": -7.9934}

=====

7.
{"formula": "Ho3Cd2Ag", "functional": "PBE-GGA", "state": "relaxed", "cell": [[3.685, 0.000, 0.000], [0.000, 3.685, 0.000], [0.000, 0.000, 11.108]], "species": ["Ho", "Ho", "Ho", "Ag", "Cd", "Cd"], "fractional_positions": [[0.000, 0.000, 0.659], [0.000, 0.000, 0.341], [0.000, 0.000, 0.000], [0.500, 0.500, 0.500], [0.500, 0.500, 0.167], [0.500, 0.500, 0.833]], "rho_g_cm3": 9.110, "space_group": "P4/mmm (123)", "formation_enthalpy_0k_ev_per_atom": -0.32, "total_energy_ev_per_atom": -3.3875}

=====

8.
{"formula": "K2Zn2O", "functional": "PBE-GGA", "state": "relaxed", "cell": [[3.488, 0.000, 0.000], [0.000, 3.488, 0.000], [1.744, 1.744, 10.081]], "species": ["K", "K", "Zn", "Zn", "O"], "fractional_positions": [[0.429, 0.429, 0.142], [0.571, 0.571, 0.858], [0.250, 0.750, 0.500], [0.750, 0.250, 0.500], [0.000, 0.000, 0.000]], "rho_g_cm3": 3.046, "space_group": "I4/mmm (139)", "e_form_raw_kj_per_mol_atoms": -34.41, "total_energy_ev_per_atom": -2.2969}